LaTeIN2 after structural relaxation, computed with PBE.

Results
- SG: No. 123
- Energy: -21.31 eV for the cell shown
- Formation energy from raw total energies: 0.992 eV/atom

Cell lengths 4.444, 4.444, 5.662 Å; angles 90.00, 90.00, 90.00 degrees
Fractional positions:
N1 0.500 0.000 0.000
N2 0.000 0.500 0.000
La1 0.500 0.500 0.500
I1 0.000 0.000 0.000
Te1 0.000 0.000 0.500

---

Ti2MoH6 after structural relaxation, computed with PBE.

Results
- SG: No. 14
- Energy: -97.57 eV for the cell shown

Cell lengths 4.824, 4.330, 6.527 Å; angles 90.00, 90.38, 90.00 degrees
Fractional positions:
H1 0.247 0.298 0.430
H2 0.317 0.772 0.482
H3 0.183 0.272 0.018
H4 0.817 0.728 0.982
H5 0.590 0.515 0.272
H6 0.253 0.798 0.070
H7 0.090 0.985 0.772
H8 0.753 0.702 0.570
H9 0.683 0.228 0.518
H10 0.910 0.015 0.228
H11 0.410 0.485 0.728
H12 0.747 0.202 0.930
Ti1 0.502 0.982 0.733
Ti2 0.498 0.018 0.267
Ti3 0.002 0.518 0.233
Ti4 0.998 0.482 0.767
Mo1 0.500 0.500 0.000
Mo2 0.000 0.000 0.500